[1]
# BeCoCl2

A relaxed BeCoCl2 crystal (GGA-PBE, Alexandria).

Cell: 6.2682 6.2682 6.2682 Å, 152.32 94.91 91.65°
Fractional coordinates of all 4 atoms:
Be 0.0000 0.0000 0.0000
Co 0.7804 0.2804 0.5000
Cl 0.1517 0.6517 0.5000
Cl 0.5988 0.5988 0.0000

Output
Space-group type: Imm2
Final energy (eV/atom): -3.75
Volume (Å³/cell): 111.05
Energy above the lowest structure with this stoichiometry (eV per atom): 0.202

[2]
# BeCoCl2

A relaxed BeCoCl2 crystal (GGA-PBE, Alexandria).

Cell: 3.7659 3.7659 6.8992 Å, 90.25 90.25 50.08°
Fractional coordinates of all 4 atoms:
Be 0.0000 0.0000 0.0000
Co 0.7230 0.7230 0.1321
Cl 0.3322 0.3322 0.3347
Cl 0.5966 0.5966 0.8324

Output
Space-group type: Cm
Final energy (eV/atom): -3.92
Volume (Å³/cell): 75.04
Energy above the lowest structure with this stoichiometry (eV per atom): 0.028

[3]
# CsBeCo2Cl8

A relaxed CsBeCo2Cl8 crystal (GGA-PBE, Alexandria).

Cell: 4.8000 4.8000 12.9283 Å, 99.07 99.07 88.48°
Fractional coordinates of all 12 atoms:
Cs 0.0000 0.0000 0.0000
Be 0.0000 0.0000 0.5000
Co 0.3600 0.3600 0.7003
Co 0.6400 0.6400 0.2997
Cl 0.1580 0.6896 0.3138
Cl 0.2784 0.2784 0.5175
Cl 0.3104 0.8420 0.6862
Cl 0.4376 0.4376 0.8754
Cl 0.5624 0.5624 0.1246
Cl 0.6896 0.1580 0.3138
Cl 0.7216 0.7216 0.4825
Cl 0.8420 0.3104 0.6862

Output
Space-group type: C2/m
Final energy (eV/atom): -3.59
Volume (Å³/cell): 290.47

[4]
# Cs2BeCoCl6

A relaxed Cs2BeCoCl6 crystal (GGA-PBE, Alexandria).

Cell: 7.3922 7.3922 7.3922 Å, 123.68 123.68 83.74°
Fractional coordinates of all 10 atoms:
Cs 0.2500 0.7500 0.5000
Cs 0.7500 0.2500 0.5000
Be 0.0000 0.0000 0.0000
Co 0.5000 0.5000 0.0000
Cl 0.2206 0.2206 0.4412
Cl 0.2206 0.7794 0.0000
Cl 0.2977 0.2977 0.0000
Cl 0.7023 0.7023 0.0000
Cl 0.7794 0.2206 0.0000
Cl 0.7794 0.7794 0.5588

Output
Space-group type: I4/mmm
Final energy (eV/atom): -3.59
Volume (Å³/cell): 268.00

[5]
# BeCoCuCl2

A relaxed BeCoCuCl2 crystal (GGA-PBE, Alexandria).

Cell: 4.0924 4.0924 6.5837 Å, 90.00 90.00 90.00°
Fractional coordinates of all 5 atoms:
Be 0.0000 0.0000 0.0000
Co 0.5000 0.5000 0.5000
Cu 0.0000 0.0000 0.5000
Cl 0.0000 0.5000 0.0000
Cl 0.5000 0.0000 0.0000

Output
Space-group type: P4/mmm
Final energy (eV/atom): -3.17
Volume (Å³/cell): 110.26

[6]
# BeCoHCl2

A relaxed BeCoHCl2 crystal (GGA-PBE, Alexandria).

Cell: 4.2872 4.2872 4.4924 Å, 90.00 90.00 90.00°
Fractional coordinates of all 5 atoms:
Be 0.0000 0.0000 0.0000
Co 0.0000 0.0000 0.5000
H 0.5000 0.5000 0.5000
Cl 0.0000 0.5000 0.0000
Cl 0.5000 0.0000 0.0000

Output
Space-group type: P4/mmm
Final energy (eV/atom): -2.86
Volume (Å³/cell): 82.57

[7]
# Be2InCoCl

A relaxed Be2InCoCl crystal (GGA-PBE, Alexandria).

Cell: 4.5536 4.5536 5.6321 Å, 90.00 90.00 90.00°
Fractional coordinates of all 5 atoms:
Be 0.0000 0.5000 0.0000
Be 0.5000 0.0000 0.0000
In 0.0000 0.0000 0.0000
Co 0.5000 0.5000 0.5000
Cl 0.0000 0.0000 0.5000

Output
Space-group type: P4/mmm
Final energy (eV/atom): -2.58
Volume (Å³/cell): 116.78

[8]
# BeCoN2Cl

A relaxed BeCoN2Cl crystal (GGA-PBE, Alexandria).

Cell: 3.9252 3.9252 4.0870 Å, 90.00 90.00 90.00°
Fractional coordinates of all 5 atoms:
Be 0.0000 0.0000 0.0000
Co 0.5000 0.5000 0.0000
N 0.0000 0.5000 0.5000
N 0.5000 0.0000 0.5000
Cl 0.5000 0.5000 0.5000

Output
Space-group type: P4/mmm
Final energy (eV/atom): -3.41
Volume (Å³/cell): 62.97

[9]
# BeCoPCl2

A relaxed BeCoPCl2 crystal (GGA-PBE, Alexandria).

Cell: 4.0133 4.0133 6.5645 Å, 90.00 90.00 90.00°
Fractional coordinates of all 5 atoms:
Be 0.0000 0.0000 0.0000
Co 0.5000 0.5000 0.5000
P 0.0000 0.0000 0.5000
Cl 0.0000 0.5000 0.0000
Cl 0.5000 0.0000 0.0000

Output
Space-group type: P4/mmm
Final energy (eV/atom): -3.55
Volume (Å³/cell): 105.73
Energy above the lowest structure with this stoichiometry (eV per atom): 0.000

[10]
# BeCoPCl2

A relaxed BeCoPCl2 crystal (GGA-PBE, Alexandria).

Cell: 4.6565 4.6565 4.3320 Å, 90.00 90.00 90.00°
Fractional coordinates of all 5 atoms:
Be 0.0000 0.0000 0.0000
Co 0.5000 0.5000 0.5000
P 0.5000 0.5000 0.0000
Cl 0.0000 0.5000 0.5000
Cl 0.5000 0.0000 0.5000

Output
Space-group type: P4/mmm
Final energy (eV/atom): -3.42
Volume (Å³/cell): 93.93
Energy above the lowest structure with this stoichiometry (eV per atom): 0.125

[11]
# BeCoPb2Cl

A relaxed BeCoPb2Cl crystal (GGA-PBE, Alexandria).

Cell: 5.3085 5.3085 4.2691 Å, 90.00 90.00 90.00°
Fractional coordinates of all 5 atoms:
Be 0.0000 0.0000 0.0000
Co 0.5000 0.5000 0.5000
Pb 0.0000 0.5000 0.5000
Pb 0.5000 0.0000 0.5000
Cl 0.5000 0.5000 0.0000

Output
Space-group type: P4/mmm
Final energy (eV/atom): -3.42
Volume (Å³/cell): 120.30

[12]
# RbBeCoCl2

A relaxed RbBeCoCl2 crystal (GGA-PBE, Alexandria).

Cell: 5.9234 5.9234 5.5621 Å, 90.00 90.00 90.00°
Fractional coordinates of all 5 atoms:
Rb 0.0000 0.0000 0.0000
Be 0.5000 0.5000 0.5000
Co 0.0000 0.0000 0.5000
Cl 0.0000 0.5000 0.0000
Cl 0.5000 0.0000 0.0000

Output
Space-group type: P4/mmm
Final energy (eV/atom): -2.03
Volume (Å³/cell): 195.15

The highest final energy belongs to which entry?
RbBeCoCl2

Repeat the eleventh record exactly.
# BeCoPb2Cl

A relaxed BeCoPb2Cl crystal (GGA-PBE, Alexandria).

Cell: 5.3085 5.3085 4.2691 Å, 90.00 90.00 90.00°
Fractional coordinates of all 5 atoms:
Be 0.0000 0.0000 0.0000
Co 0.5000 0.5000 0.5000
Pb 0.0000 0.5000 0.5000
Pb 0.5000 0.0000 0.5000
Cl 0.5000 0.5000 0.0000

Output
Space-group type: P4/mmm
Final energy (eV/atom): -3.42
Volume (Å³/cell): 120.30